[1]
Material: CaPuBiPb
Method: DFT, PBE
State: relaxed

The structure belongs to space group F-43m (No. 216); the cell edges are 7.858, 7.858 and 7.858 Å and the angles 90.00°, 90.00° and 90.00°. Symmetry generates all atoms from Ca at (0.000, 0.000, 0.000), Pu at (0.000, 0.000, 0.500), Bi at (0.250, 0.250, 0.250) and Pb at (0.250, 0.250, 0.750).

The formation energy is -0.330 eV/atom.

[2]
Material: CaBiPb2S
Method: DFT, PBE
State: relaxed

The structure belongs to space group P4/mmm (No. 123); the cell edges are 5.550, 5.550 and 5.466 Å and the angles 90.00°, 90.00° and 90.00°. Symmetry generates all atoms from Ca at (0.000, 0.000, 0.000), Bi at (0.500, 0.500, 0.000), Pb at (0.000, 0.500, 0.500) and S at (0.500, 0.500, 0.500).

The final energy is -3.561 eV/atom.

[3]
Material: CaBiPbS2
Method: DFT, PBE
State: relaxed

The structure belongs to space group P4/mmm (No. 123); the cell edges are 5.177, 5.177 and 5.977 Å and the angles 90.00°, 90.00° and 90.00°. Symmetry generates all atoms from Ca at (0.000, 0.000, 0.000), Bi at (0.000, 0.000, 0.500), Pb at (0.500, 0.500, 0.500) and S at (0.000, 0.500, 0.000).

The final energy is -3.563 eV/atom.

[4]
Material: CaBiPb2Se4
Method: DFT, PBE
State: relaxed

The structure belongs to space group P2/m (No. 10); the cell edges are 7.417, 4.315 and 7.670 Å and the angles 90.00°, 108.81° and 90.00°. Symmetry generates all atoms from Ca at (0.000, 0.000, 0.000), Bi at (0.500, 0.500, 0.000), Pb at (0.000, 0.500, 0.500), Pb at (0.500, 0.000, 0.500), Se at (0.245, 0.500, 0.237) and Se at (0.254, 0.000, 0.762).

The final energy is -4.195 eV/atom.

[5]
Material: CaSnBiPb2
Method: DFT, PBE
State: relaxed

The structure belongs to space group P4/mmm (No. 123); the cell edges are 5.824, 5.824 and 5.794 Å and the angles 90.00°, 90.00° and 90.00°. Symmetry generates all atoms from Ca at (0.000, 0.000, 0.000), Sn at (0.500, 0.500, 0.500), Bi at (0.000, 0.000, 0.500) and Pb at (0.000, 0.500, 0.000).

The formation energy is 0.553 eV/atom.

[6]
Material: CaTbBiPb
Method: DFT, PBE
State: relaxed

The structure belongs to space group F-43m (No. 216); the cell edges are 7.856, 7.856 and 7.856 Å and the angles 90.00°, 90.00° and 90.00°. Symmetry generates all atoms from Ca at (0.000, 0.000, 0.000), Tb at (0.000, 0.000, 0.500), Bi at (0.250, 0.250, 0.750) and Pb at (0.250, 0.250, 0.250).

The formation energy is -0.500 eV/atom.

[7]
Material: CaTcBi2Pb
Method: DFT, PBE
State: relaxed

The structure belongs to space group P4/mmm (No. 123); the cell edges are 5.743, 5.743 and 5.783 Å and the angles 90.00°, 90.00° and 90.00°. Symmetry generates all atoms from Ca at (0.000, 0.000, 0.000), Tc at (0.500, 0.500, 0.500), Bi at (0.000, 0.500, 0.000) and Pb at (0.000, 0.000, 0.500).

The formation energy is 1.326 eV/atom.

[8]
Material: CaBiTe4Pb2
Method: DFT, PBE
State: relaxed

The structure belongs to space group P2/m (No. 10); the cell edges are 7.949, 4.595 and 8.018 Å and the angles 90.00°, 109.21° and 90.00°. Symmetry generates all atoms from Ca at (0.000, 0.000, 0.000), Bi at (0.500, 0.500, 0.000), Te at (0.247, 0.500, 0.242), Te at (0.252, 0.000, 0.757), Pb at (0.000, 0.500, 0.500) and Pb at (0.500, 0.000, 0.500).

The final energy is -3.819 eV/atom.

[9]
Material: CaThBiPb
Method: DFT, PBE
State: relaxed

The structure belongs to space group F-43m (No. 216); the cell edges are 7.917, 7.917 and 7.917 Å and the angles 90.00°, 90.00° and 90.00°. Symmetry generates all atoms from Ca at (0.000, 0.000, 0.000), Th at (0.000, 0.000, 0.500), Bi at (0.250, 0.250, 0.250) and Pb at (0.250, 0.250, 0.750).

The formation energy is -0.385 eV/atom.

[10]
Material: CaVBiPb2
Method: DFT, PBE
State: relaxed

The structure belongs to space group P4/mmm (No. 123); the cell edges are 5.327, 5.327 and 5.606 Å and the angles 90.00°, 90.00° and 90.00°. Symmetry generates all atoms from Ca at (0.000, 0.000, 0.000), V at (0.000, 0.000, 0.500), Bi at (0.500, 0.500, 0.000) and Pb at (0.000, 0.500, 0.500).

The formation energy is 0.326 eV/atom.

[11]
Material: CaYBiPb
Method: DFT, PBE
State: relaxed

The structure belongs to space group F-43m (No. 216); the cell edges are 7.851, 7.851 and 7.851 Å and the angles 90.00°, 90.00° and 90.00°. Symmetry generates all atoms from Ca at (0.000, 0.000, 0.000), Y at (0.000, 0.000, 0.500), Bi at (0.250, 0.250, 0.250) and Pb at (0.250, 0.250, 0.750).

The formation energy is -0.510 eV/atom.

[12]
Material: CaZrBi2Pb
Method: DFT, PBE
State: relaxed

The structure belongs to space group P4/mmm (No. 123); the cell edges are 5.916, 5.916 and 5.595 Å and the angles 90.00°, 90.00° and 90.00°. Symmetry generates all atoms from Ca at (0.000, 0.000, 0.000), Zr at (0.500, 0.500, 0.000), Bi at (0.000, 0.500, 0.500) and Pb at (0.000, 0.000, 0.500).

The formation energy is 0.856 eV/atom.

[13]
Material: CaBiPd6
Method: DFT, PBE
State: relaxed

The structure belongs to space group Pm-3 (No. 200); the cell edges are 5.263, 5.263 and 5.263 Å and the angles 90.00°, 90.00° and 90.00°. Symmetry generates all atoms from Ca at (0.000, 0.000, 0.000), Bi at (0.500, 0.500, 0.500) and Pd at (0.000, 0.250, 0.500).

For the energy above the most stable polymorph in this dataset, the calculation gives 160 meV per atom. The formation energy is -0.242 eV/atom.

[14]
Material: CaBi2Pd6
Method: DFT, PBE
State: relaxed

The structure belongs to space group P-3m1 (No. 164); the cell edges are 4.7271, 4.7271 and 8.9101 Å and the angles 90.00°, 90.00° and 120.00°. Symmetry generates all atoms from Ca at (0.0000, 0.0000, 0.0000), Bi at (0.3333, 0.6667, 0.2310), Pd at (0.0000, 0.0000, 0.3404), Pd at (0.3333, 0.6667, 0.5335) and Pd at (0.3333, 0.6667, 0.8434).

For the energy above the most stable polymorph in this dataset, the calculation gives 0 meV per atom. The formation energy is -0.354 eV/atom.

[15]
Material: CaBi7Pd5
Method: DFT, PBE
State: relaxed

The structure belongs to space group Imm2 (No. 44); the cell edges are 6.017, 10.156 and 10.413 Å and the angles 90.00°, 90.00° and 90.00°. Symmetry generates all atoms from Ca at (0.000, 0.000, 0.000), Bi at (0.000, 0.000, 0.336), Bi at (0.000, 0.000, 0.667), Bi at (0.000, 0.321, 0.449), Bi at (0.000, 0.334, 0.009), Bi at (0.000, 0.500, 0.712), Pd at (0.000, 0.500, 0.238) and Pd at (0.250, 0.243, 0.223).

The formation energy is -0.256 eV/atom.

[16]
Material: Ca2BiPd2
Method: DFT, PBE
State: relaxed

The structure belongs to space group P4/mbm (No. 127); the cell edges are 8.519, 8.519 and 3.361 Å and the angles 90.00°, 90.00° and 90.00°. Symmetry generates all atoms from Ca at (0.158, 0.342, 0.000), Bi at (0.000, 0.000, 0.000) and Pd at (0.130, 0.630, 0.500).

For the energy above the most stable polymorph in this dataset, the calculation gives 324 meV per atom. The formation energy is -0.419 eV/atom.

[17]
Material: Ca2Bi2Pd15
Method: DFT, PBE
State: relaxed

The structure belongs to space group R-3m (No. 166, hexagonal axes); the cell edges are 9.3665, 9.3665 and 13.8620 Å and the angles 90.00°, 90.00° and 120.00°. Symmetry generates all atoms from Ca at (0.0000, 0.0000, 0.1403), Bi at (0.0000, 0.0000, 0.3910), Pd at (0.0000, 0.3171, 0.5000), Pd at (0.0000, 0.5000, 0.0000) and Pd at (0.0071, 0.5036, 0.6576).

The formation energy is -0.263 eV/atom.

[18]
Material: Ca3BiPd
Method: DFT, PBE
State: relaxed

The structure belongs to space group Pm-3m (No. 221); the cell edges are 5.895, 5.895 and 5.895 Å and the angles 90.00°, 90.00° and 90.00°. Symmetry generates all atoms from Ca at (0.000, 0.000, 0.500), Bi at (0.000, 0.000, 0.000) and Pd at (0.500, 0.500, 0.500).

For the energy above the most stable polymorph in this dataset, the calculation gives 586 meV per atom. The formation energy is 0.007 eV/atom.

[19]
Material: Ca2Bi2Pd
Method: DFT, PBE
State: relaxed

The structure belongs to space group P4/mbm (No. 127); the cell edges are 7.685, 7.685 and 4.799 Å and the angles 90.00°, 90.00° and 90.00°. Symmetry generates all atoms from Ca at (0.164, 0.336, 0.000), Bi at (0.150, 0.650, 0.500) and Pd at (0.000, 0.000, 0.500).

For the energy above the most stable polymorph in this dataset, the calculation gives 99 meV per atom. The formation energy is -0.616 eV/atom.

[20]
Material: Ca4BiPd
Method: DFT, PBE
State: relaxed

The structure belongs to space group C2/c (No. 15); the cell edges are 9.651, 14.017 and 6.616 Å and the angles 90.00°, 119.55° and 90.00°. Symmetry generates all atoms from Ca at (0.115, 0.171, 0.083), Ca at (0.217, 0.436, 0.304), Bi at (0.000, 0.367, 0.750) and Pd at (0.000, 0.001, 0.250).

The formation energy is -0.589 eV/atom.

[21]
Material: Ca2BiPd
Method: DFT, PBE
State: relaxed

The structure belongs to space group P-3m1 (No. 164); the cell edges are 4.9205, 4.9205 and 5.7638 Å and the angles 90.00°, 90.00° and 120.00°. Symmetry generates all atoms from Ca at (0.3333, 0.6667, 0.2697), Bi at (0.0000, 0.0000, 0.0000) and Pd at (0.0000, 0.0000, 0.5000).

The formation energy is -0.661 eV/atom.

[22]
Material: Ca2BiPd
Method: DFT, PBE
State: relaxed

The structure belongs to space group I-42d (No. 122); the cell edges are 8.247, 8.247 and 6.691 Å and the angles 90.00°, 90.00° and 90.00°. Symmetry generates all atoms from Ca at (0.209, 0.250, 0.125), Bi at (0.000, 0.000, 0.500) and Pd at (0.000, 0.000, 0.000).

The formation energy is -0.480 eV/atom.

[23]
Material: Ca2BiPd2
Method: DFT, PBE
State: relaxed

The structure belongs to space group I4/mmm (No. 139); the cell edges are 3.837, 3.837 and 17.489 Å and the angles 90.00°, 90.00° and 90.00°. Symmetry generates all atoms from Ca at (0.000, 0.000, 0.121), Bi at (0.000, 0.000, 0.500) and Pd at (0.000, 0.500, 0.250).

For the energy above the most stable polymorph in this dataset, the calculation gives 182 meV per atom. The formation energy is -0.560 eV/atom.

[24]
Material: Ca3Bi2Pd4
Method: DFT, PBE
State: relaxed

The structure belongs to space group C2/m (No. 12); the cell edges are 10.260, 4.711 and 9.021 Å and the angles 90.00°, 95.68° and 90.00°. Symmetry generates all atoms from Ca at (0.000, 0.000, 0.000), Ca at (0.129, 0.500, 0.390), Bi at (0.175, 0.500, 0.777), Pd at (0.081, 0.000, 0.627) and Pd at (0.228, 0.500, 0.087).

The formation energy is -0.660 eV/atom.

[25]
Material: CaBiPd14
Method: DFT, PBE
State: relaxed

The structure belongs to space group P4/mmm (No. 123); the cell edges are 5.716, 5.716 and 8.037 Å and the angles 90.00°, 90.00° and 90.00°. Symmetry generates all atoms from Ca at (0.000, 0.000, 0.000), Bi at (0.500, 0.500, 0.000), Pd at (0.000, 0.000, 0.500), Pd at (0.000, 0.500, 0.000), Pd at (0.000, 0.500, 0.500), Pd at (0.251, 0.251, 0.260) and Pd at (0.500, 0.500, 0.500).

The formation energy is -0.177 eV/atom.

In μB/f.u., the M_tot values for the records above are, in order, 5.8; 0.0; 0.7; 0.0; 0.0; 0.0; 4.6; 0.0; 0.0; 3.4; 0.0; 1.9; 0.0; 0.0; 0.0; 0.0; 0.0; 0.0; 0.0; 0.0; 0.0; 0.0; 0.0; 0.0; 0.0.